No. 1
A plane-wave DFT calculation with GGA-PBE was carried out for an optimized crystal structure of CeHoMgSc.

```
4
Lattice="0.000 3.800 3.800 3.800 0.000 3.800 3.800 3.800 0.000" Properties=species:S:1:pos:R:3 pbc="T T T"
Ce 0.000 0.000 0.000
Ho 3.800 3.800 3.800
Mg 1.900 1.900 1.900
Sc 5.700 5.700 5.700
```

Calculated values
As for the space group: F-43m. As for the formation energy: 0.0675 eV/atom.

***

No. 2
A plane-wave DFT calculation with GGA-PBE was carried out for an optimized crystal structure of Na2UCrS6.

```
20
Lattice="6.590 0.000 0.000 0.000 6.821 0.000 -6.491 0.000 9.483" Properties=species:S:1:pos:R:3 pbc="T T T"
Na -0.101 0.430 2.341
Na -3.346 2.981 7.082
Na 3.445 3.841 2.401
Na 0.199 6.391 7.142
U 3.295 0.000 0.000
U 0.049 3.411 4.741
Cr -3.246 0.000 4.741
Cr 0.000 3.411 0.000
S -5.247 1.444 9.036
S -2.001 1.966 4.295
S -4.561 4.715 9.057
S -1.315 5.517 4.316
S -2.630 0.123 7.016
S 0.616 3.287 2.274
S -0.517 3.534 7.209
S 2.729 6.698 2.467
S 1.414 1.304 5.167
S 4.659 2.106 0.426
S 2.100 4.855 5.188
S 5.346 5.377 0.446
```

Calculated values
As for the space group: P2_1/c.

***

No. 3
A plane-wave DFT calculation with GGA-PBE was carried out for an optimized crystal structure of SrSiBr.

```
6
Lattice="2.100 1.213 12.233 -2.100 1.213 12.233 0.000 -2.425 12.233" Properties=species:S:1:pos:R:3 pbc="T T T"
Sr 0.000 0.000 2.441
Sr 0.000 0.000 34.259
Si 0.000 0.000 12.529
Si 0.000 0.000 24.170
Br 0.000 0.000 8.017
Br 0.000 0.000 28.682
```

Calculated values
As for the space group: R-3m.

***

No. 4
A plane-wave DFT calculation with GGA-PBE was carried out for an optimized crystal structure of SrLi2PaCl8.

```
12
Lattice="6.282 0.000 0.000 0.369 6.284 0.000 0.024 0.022 8.748" Properties=species:S:1:pos:R:3 pbc="T T T"
Sr 0.000 0.000 0.000
Li 3.322 3.139 1.664
Li 3.353 3.167 7.084
Pa 0.012 0.011 4.374
Cl 1.634 4.995 2.357
Cl 1.647 5.007 6.391
Cl 1.874 1.810 4.362
Cl 2.082 2.000 8.745
Cl 4.593 4.306 0.003
Cl 4.801 4.496 4.386
Cl 5.028 1.299 2.357
Cl 5.041 1.310 6.391
```

Calculated values
As for the space group: P-1.

***

DFT total energy readings, ordered: -4.5420; -5.7281; -4.0848; -4.4501 eV/atom